La2Tb6Sm3Ho | PBE | relaxed

Calculated values
total magnetization = 0.000 μB/f.u.
ΔH_f (0 K) = 0.016 eV per atom
V = 397.6 Å³/cell
space-group type = C2/m, No. 12

Cell lengths 6.253, 6.253, 11.923 Å; angles 95.01, 95.01, 120.00 degrees
Atoms (fractional coordinates):
La 0.166 0.834 0.000
La 0.834 0.166 0.000
Tb 0.084 0.416 0.748
Tb 0.252 0.252 0.252
Tb 0.416 0.084 0.748
Tb 0.584 0.916 0.252
Tb 0.748 0.748 0.748
Tb 0.916 0.584 0.252
Sm 0.000 0.000 0.500
Sm 0.333 0.667 0.500
Sm 0.667 0.333 0.500
Ho 0.500 0.500 0.000